# 1
# Ba2NdOsS6

An optimized crystal structure of Ba2NdOsS6 (PBE-GGA, OQMD via LeMat-Bulk).

a b c (Å): 7.0592 7.0592 7.2741
angles (deg): 119.89 119.89 59.86
Fractional coordinates of all 10 atoms:
1 Ba 0.2453 0.2453 0.2382
2 Ba 0.7547 0.7547 0.7618
3 Nd 0.0000 0.0000 0.5000
4 Os 0.5000 0.5000 0.0000
5 S 0.2261 0.6967 0.1905
6 S 0.2699 0.2699 0.6994
7 S 0.3033 0.7739 0.8095
8 S 0.6967 0.2261 0.1905
9 S 0.7301 0.7301 0.3006
10 S 0.7739 0.3033 0.8095

**E**: -5.719 eV/atom
**Space group**: C2/m (12)
**Crystal system**: monoclinic

# 2
# BaNd2P2

An optimized crystal structure of BaNd2P2 (PBE-GGA, OQMD via LeMat-Bulk).

a b c (Å): 9.1538 9.1538 7.4763
angles (deg): 90.00 90.00 90.00
Fractional coordinates of all 20 atoms:
1 Ba 0.0000 0.0000 0.0000
2 Ba 0.0000 0.0000 0.5000
3 Ba 0.0000 0.5000 0.0695
4 Ba 0.5000 0.0000 0.5695
5 Nd 0.1827 0.5000 0.5738
6 Nd 0.3303 0.5000 0.0767
7 Nd 0.5000 0.1827 0.0738
8 Nd 0.5000 0.3303 0.5767
9 Nd 0.5000 0.6697 0.5767
10 Nd 0.5000 0.8173 0.0738
11 Nd 0.6697 0.5000 0.0767
12 Nd 0.8173 0.5000 0.5738
13 P 0.2566 0.2582 0.8219
14 P 0.2566 0.7418 0.8219
15 P 0.2582 0.2566 0.3219
16 P 0.2582 0.7434 0.3219
17 P 0.7418 0.2566 0.3219
18 P 0.7418 0.7434 0.3219
19 P 0.7434 0.2582 0.8219
20 P 0.7434 0.7418 0.8219

**E**: -5.056 eV/atom
**Space group**: P4_2mc (105)
**Crystal system**: tetragonal

# 3
# BaNdPa

An optimized crystal structure of BaNdPa (PBE-GGA, OQMD via LeMat-Bulk).

a b c (Å): 5.5277 5.5277 5.5277
angles (deg): 60.00 60.00 60.00
Fractional coordinates of all 3 atoms:
1 Ba 0.0000 0.0000 0.0000
2 Nd 0.2500 0.2500 0.2500
3 Pa 0.5000 0.5000 0.5000

**E**: -4.077 eV/atom
**Space group**: F-43m (216)
**Crystal system**: cubic
**Energy relative to the lowest polymorph listed for this composition**: 0 meV per atom

# 4
# BaNdPb

An optimized crystal structure of BaNdPb (PBE-GGA, OQMD via LeMat-Bulk).

a b c (Å): 5.6504 5.6504 5.6504
angles (deg): 60.00 60.00 60.00
Fractional coordinates of all 3 atoms:
1 Ba 0.0000 0.0000 0.0000
2 Nd 0.5000 0.5000 0.5000
3 Pb 0.2500 0.2500 0.2500

**E**: -3.685 eV/atom
**Space group**: F-43m (216)
**Crystal system**: cubic

# 5
# BaNdPb2

An optimized crystal structure of BaNdPb2 (PBE-GGA, OQMD via LeMat-Bulk).

a b c (Å): 4.6223 6.7691 6.7691
angles (deg): 43.42 90.00 90.00
Fractional coordinates of all 4 atoms:
1 Ba 0.0000 0.0000 0.0000
2 Nd 0.5000 0.2662 0.2662
3 Pb 0.0000 0.7303 0.7303
4 Pb 0.5000 0.5590 0.5590

**E**: -3.990 eV/atom
**Space group**: Amm2 (38)
**Crystal system**: orthorhombic

# 6
# BaNd2PdPt2Pb3

An optimized crystal structure of BaNd2PdPt2Pb3 (PBE-GGA, OQMD via LeMat-Bulk).

a b c (Å): 4.0625 8.1682 8.1682
angles (deg): 120.60 90.00 90.00
Fractional coordinates of all 9 atoms:
1 Ba 0.0000 0.0000 0.0000
2 Nd 0.0000 0.4113 0.8235
3 Nd 0.0000 0.8235 0.4113
4 Pd 0.0000 0.4237 0.4237
5 Pt 0.5000 0.0863 0.7265
6 Pt 0.5000 0.7265 0.0863
7 Pb 0.5000 0.1588 0.4144
8 Pb 0.5000 0.4144 0.1588
9 Pb 0.5000 0.6651 0.6651

**E**: -5.150 eV/atom
**Space group**: Amm2 (38)
**Crystal system**: orthorhombic

# 7
# BaNdSn2Pd4

An optimized crystal structure of BaNdSn2Pd4 (PBE-GGA, OQMD via LeMat-Bulk).

a b c (Å): 4.6498 4.6498 10.1722
angles (deg): 90.00 90.00 120.00
Fractional coordinates of all 8 atoms:
1 Ba 0.0000 0.0000 0.0000
2 Nd 0.3333 0.6667 0.5000
3 Sn 0.6667 0.3333 0.2716
4 Sn 0.6667 0.3333 0.7284
5 Pd 0.0000 0.0000 0.3392
6 Pd 0.0000 0.0000 0.6608
7 Pd 0.3333 0.6667 0.2112
8 Pd 0.3333 0.6667 0.7888

**E**: -5.169 eV/atom
**Space group**: P-6m2 (187)
**Crystal system**: hexagonal

# 8
# BaPmNd

An optimized crystal structure of BaPmNd (PBE-GGA, OQMD via LeMat-Bulk).

a b c (Å): 5.9078 5.9078 5.9078
angles (deg): 60.00 60.00 60.00
Fractional coordinates of all 3 atoms:
1 Ba 0.0000 0.0000 0.0000
2 Pm 0.2500 0.2500 0.2500
3 Nd 0.5000 0.5000 0.5000

**E**: -3.024 eV/atom
**Space group**: F-43m (216)
**Crystal system**: cubic

# 9
# BaNdPu

An optimized crystal structure of BaNdPu (PBE-GGA, OQMD via LeMat-Bulk).

a b c (Å): 5.4654 5.4654 5.4654
angles (deg): 60.00 60.00 60.00
Fractional coordinates of all 3 atoms:
1 Ba 0.0000 0.0000 0.0000
2 Nd 0.5000 0.5000 0.5000
3 Pu 0.2500 0.2500 0.2500

**E**: -5.976 eV/atom
**Space group**: F-43m (216)
**Crystal system**: cubic
**Energy relative to the lowest polymorph listed for this composition**: 0 meV per atom

# 10
# RbBaNd

An optimized crystal structure of RbBaNd (PBE-GGA, OQMD via LeMat-Bulk).

a b c (Å): 6.4230 6.4230 6.4230
angles (deg): 60.00 60.00 60.00
Fractional coordinates of all 3 atoms:
1 Rb 0.0000 0.0000 0.0000
2 Ba 0.7500 0.7500 0.7500
3 Nd 0.2500 0.2500 0.2500

**E**: -1.599 eV/atom
**Space group**: F-43m (216)
**Crystal system**: cubic
**Energy relative to the lowest polymorph listed for this composition**: 0 meV per atom

# 11
# RbBaNdS3

An optimized crystal structure of RbBaNdS3 (PBE-GGA, OQMD via LeMat-Bulk).

a b c (Å): 9.6476 9.6476 12.0896
angles (deg): 90.00 90.00 153.97
Fractional coordinates of all 12 atoms:
1 Rb 0.1291 0.8709 0.7500
2 Rb 0.8709 0.1291 0.2500
3 Ba 0.1138 0.8862 0.2500
4 Ba 0.8862 0.1138 0.7500
5 Nd 0.5000 0.5000 0.0000
6 Nd 0.5000 0.5000 0.5000
7 S 0.0992 0.9008 0.0042
8 S 0.0992 0.9008 0.4958
9 S 0.4957 0.5043 0.7500
10 S 0.5043 0.4957 0.2500
11 S 0.9008 0.0992 0.5042
12 S 0.9008 0.0992 0.9958

**E**: -4.968 eV/atom
**Space group**: Cmcm (63)
**Crystal system**: orthorhombic
**Energy relative to the lowest polymorph listed for this composition**: 5 meV per atom

# 12
# RbBaNdS3

An optimized crystal structure of RbBaNdS3 (PBE-GGA, OQMD via LeMat-Bulk).

a b c (Å): 12.0782 4.3480 19.6404
angles (deg): 90.00 90.00 90.00
Fractional coordinates of all 24 atoms:
1 Rb 0.2472 0.2500 0.1254
2 Rb 0.2528 0.7500 0.6254
3 Rb 0.7472 0.2500 0.3746
4 Rb 0.7528 0.7500 0.8746
5 Ba 0.2471 0.2500 0.3585
6 Ba 0.2529 0.7500 0.8585
7 Ba 0.7471 0.2500 0.1415
8 Ba 0.7529 0.7500 0.6415
9 Nd 0.0028 0.2500 0.7500
10 Nd 0.4972 0.7500 0.2500
11 Nd 0.5028 0.2500 0.7500
12 Nd 0.9972 0.7500 0.2500
13 S 0.0015 0.2500 0.3451
14 S 0.0071 0.7500 0.8451
15 S 0.2473 0.7500 0.2535
16 S 0.2527 0.2500 0.7535
17 S 0.4929 0.2500 0.3451
18 S 0.4985 0.7500 0.8451
19 S 0.5015 0.2500 0.1549
20 S 0.5071 0.7500 0.6549
21 S 0.7473 0.7500 0.2465
22 S 0.7527 0.2500 0.7465
23 S 0.9929 0.2500 0.1549
24 S 0.9985 0.7500 0.6549

**E**: -4.973 eV/atom
**Space group**: Pnma (62)
**Crystal system**: orthorhombic
**Energy relative to the lowest polymorph listed for this composition**: 0 meV per atom